DFT (PBE) results for a relaxed structure of TiPbI2O.

```
TiPbI2O
1.0
5.983 0.000 0.000
0.000 5.983 0.000
0.000 0.000 4.125
Ti Pb I O
1 1 2 1
Direct
0.000 0.000 0.000
0.500 0.500 0.500
0.000 0.500 0.500
0.500 0.000 0.500
0.500 0.500 0.000
```

formation energy from raw total energies = 0.20 eV per atom
total moment = 2.7 μB per cell
SG = P4/mmm (123)
DOS(E_F) = 4.80 states/eV/cell
relative energy among the computed polymorphs = 940 meV/atom

DFT (PBE) results for a relaxed structure of NaLi2Br.

```
NaLi2Br
1.0
0.000 3.711 3.711
3.711 0.000 3.711
3.711 3.711 0.000
Na Li Br
1 2 1
Direct
0.000 0.000 0.000
0.250 0.250 0.250
0.750 0.750 0.750
0.500 0.500 0.500
```

formation energy from raw total energies = -0.34 eV per atom
total moment = 0.0 μB per cell
SG = Fm-3m (225)
DOS(E_F) = 0.00 states/eV/cell
relative energy among the computed polymorphs = 295 meV/atom

DFT (PBE) results for a relaxed structure of Hf2AgAu2.

```
Hf2AgAu2
1.0
8.255 0.000 0.000
0.000 8.255 0.000
0.000 0.000 3.006
Hf Ag Au
4 2 4
Direct
0.162 0.338 0.000
0.338 0.838 0.000
0.662 0.162 0.000
0.838 0.662 0.000
0.000 0.000 0.000
0.500 0.500 0.000
0.133 0.633 0.500
0.367 0.133 0.500
0.633 0.867 0.500
0.867 0.367 0.500
```

total moment = 0.0 μB per cell
SG = P4/mbm (127)
DOS(E_F) = 6.42 states/eV/cell
relative energy among the computed polymorphs = 206 meV/atom
energy of formation = -0.12 eV/atom